[1]
Density functional theory data (GGA-PBE) for crystalline BaPaSb2 at its relaxed geometry.

The total moment is 0.82 μB per formula unit. For the total energy, the calculation gives -5.653 eV/atom.

The structure belongs to space group R-3m (No. 166, hexagonal axes); the cell edges are 4.5858, 4.5858 and 23.8066 Å and the angles 90.00°, 90.00° and 120.00°. The distinct sites, in fractional coordinates, are Ba at (0.0000, 0.0000, 0.0000), Pa at (0.0000, 0.0000, 0.5000) and Sb at (0.0000, 0.0000, 0.2362).

---

[2]
Density functional theory data (GGA-PBE) for crystalline SrZn2Pb2 at its relaxed geometry.

The total moment is 0.00 μB per formula unit. As for the energy of formation from the pure elements: -60 kJ/mol of formula units.

The structure belongs to space group P4/mbm (No. 127); the cell edges are 8.323, 8.323 and 3.827 Å and the angles 90.00°, 90.00° and 90.00°. The distinct sites, in fractional coordinates, are Sr at (0.000, 0.000, 0.000), Zn at (0.112, 0.388, 0.000) and Pb at (0.180, 0.680, 0.500).

---

[3]
Density functional theory data (GGA-PBE) for crystalline TaCl2O at its relaxed geometry.

The total moment is 1.00 μB per formula unit. For the total energy, the calculation gives -6.813 eV/atom.

The structure belongs to space group Pnna (No. 52); the cell edges are 6.380, 5.603 and 9.758 Å and the angles 90.00°, 90.00° and 90.00°. The distinct sites, in fractional coordinates, are Ta at (0.250, 0.000, 0.122), Cl at (0.080, 0.228, 0.923) and O at (0.189, 0.250, 0.250).

---

Question: Among the records above, which one has the lowest total moment?
Answer: SrZn2Pb2

---

Question: Which formula does entry 1 have?
Answer: BaPaSb2